Record 1
# CaZrP | Alexandria | PBE-GGA | optimized geometry
data_CaZrP
_cell_length_a 11.7897
_cell_length_b 3.6753
_cell_length_c 6.7175
_cell_angle_alpha 90.00
_cell_angle_beta 98.69
_cell_angle_gamma 90.00
_space_group_name_H-M_alt 'C 1 m 1'
_space_group_IT_number 8
loop_
_space_group_symop_operation_xyz
'x,y,z'
'x,-y,z'
'x+1/2,y+1/2,z'
'x+1/2,-y+1/2,z'
loop_
_atom_site_label
_atom_site_type_symbol
_atom_site_fract_x
_atom_site_fract_y
_atom_site_fract_z
Ca1 Ca 0.0000 0.0000 0.0000
Ca2 Ca 0.2273 0.5000 0.7525
Zr1 Zr 0.0013 0.0000 0.4769
Zr2 Zr 0.2774 0.0000 0.3065
P1 P 0.1281 0.5000 0.3279
P2 P 0.4041 0.0000 0.6789
# Formation energy: -76 kJ per mole of atoms
# Crystal system: monoclinic
# N(E_F): 9.8 states/eV per cell
# Uncorrected energy: -6.106 eV per atom


Record 2
# Rb8TeAs2 | Alexandria | PBE-GGA | optimized geometry
data_Rb8TeAs2
_cell_length_a 5.8621
_cell_length_b 9.0193
_cell_length_c 17.8352
_cell_angle_alpha 90.00
_cell_angle_beta 90.00
_cell_angle_gamma 90.00
_space_group_name_H-M_alt 'I m m m'
_space_group_IT_number 71
_space_group_name_Hall '-I 2 2'
loop_
_atom_site_label
_atom_site_type_symbol
_atom_site_fract_x
_atom_site_fract_y
_atom_site_fract_z
Rb1 Rb 0.0000 0.0000 0.1673
Rb2 Rb 0.0000 0.2248 0.3406
Rb3 Rb 0.0000 0.2956 0.0000
Te1 Te 0.0000 0.5000 0.5000
As1 As 0.0000 0.5000 0.1815
# Crystal system: orthorhombic
# N(E_F): 14.0 states/eV per cell
# E_form (uncorrected): -0.44 eV/atom
# Uncorrected energy: -2.275 eV per atom


Record 3
# La6Sb2Se3Br | Alexandria | PBE-GGA | optimized geometry
data_La6Sb2Se3Br
_cell_length_a 19.3759
_cell_length_b 4.4329
_cell_length_c 8.8880
_cell_angle_alpha 90.00
_cell_angle_beta 103.98
_cell_angle_gamma 90.00
_space_group_name_H-M_alt 'C 1 2/m 1'
_space_group_IT_number 12
loop_
_space_group_symop_operation_xyz
'x,y,z'
'-x,-y,-z'
'-x,y,-z'
'x,-y,z'
'x+1/2,y+1/2,z'
'-x+1/2,-y+1/2,-z'
'-x+1/2,y+1/2,-z'
'x+1/2,-y+1/2,z'
loop_
_atom_site_label
_atom_site_type_symbol
_atom_site_fract_x
_atom_site_fract_y
_atom_site_fract_z
La1 La 0.0046 0.0000 0.2308
La2 La 0.1646 0.5000 0.0915
La3 La 0.1734 0.5000 0.5755
Sb1 Sb 0.1637 0.0000 0.8283
Se1 Se 0.0000 0.5000 0.0000
Se2 Se 0.1666 0.0000 0.3341
Br1 Br 0.0000 0.5000 0.5000
# Crystal system: monoclinic
# N(E_F): 12.3 states/eV per cell
# E_form (uncorrected): -1.66 eV/atom
# Uncorrected energy: -5.818 eV per atom


Record 4
# MgS2ClF | Alexandria | PBE-GGA | optimized geometry
data_MgS2ClF
_cell_length_a 5.1143
_cell_length_b 5.1143
_cell_length_c 4.7002
_cell_angle_alpha 90.00
_cell_angle_beta 90.00
_cell_angle_gamma 90.00
_space_group_name_H-M_alt 'P 4/m m m'
_space_group_IT_number 123
_space_group_name_Hall '-P 4 2'
loop_
_atom_site_label
_atom_site_type_symbol
_atom_site_fract_x
_atom_site_fract_y
_atom_site_fract_z
Mg1 Mg 0.0000 0.0000 0.0000
S1 S 0.0000 0.5000 0.0000
Cl1 Cl 0.0000 0.0000 0.5000
F1 F 0.5000 0.5000 0.5000
# Crystal system: tetragonal
# Energy above the lowest structure with this stoichiometry: 0.025 eV per atom
# N(E_F): 3.5 states/eV per cell
# E_form (uncorrected): -0.04 eV/atom
# Uncorrected energy: -2.752 eV per atom


Record 5
# Zr2SbCl | Alexandria | PBE-GGA | optimized geometry
data_Zr2SbCl
_cell_length_a 3.2333
_cell_length_b 4.9861
_cell_length_c 10.9681
_cell_angle_alpha 90.00
_cell_angle_beta 90.00
_cell_angle_gamma 90.00
_space_group_name_H-M_alt 'I m m 2'
_space_group_IT_number 44
loop_
_space_group_symop_operation_xyz
'x,y,z'
'-x,-y,z'
'-x,y,z'
'x,-y,z'
'x+1/2,y+1/2,z+1/2'
'-x+1/2,-y+1/2,z+1/2'
'-x+1/2,y+1/2,z+1/2'
'x+1/2,-y+1/2,z+1/2'
loop_
_atom_site_label
_atom_site_type_symbol
_atom_site_fract_x
_atom_site_fract_y
_atom_site_fract_z
Zr1 Zr 0.0000 0.0000 0.0000
Zr2 Zr 0.0000 0.5000 0.2211
Sb1 Sb 0.0000 0.5000 0.7370
Cl1 Cl 0.0000 0.0000 0.5233
# Crystal system: orthorhombic
# Energy above the lowest structure with this stoichiometry: 0.259 eV per atom
# N(E_F): 5.8 states/eV per cell
# E_form (uncorrected): -0.45 eV/atom
# Uncorrected energy: -6.218 eV per atom


Record 6
# AlCu2Pb2 | Alexandria | PBE-GGA | optimized geometry
data_AlCu2Pb2
_cell_length_a 6.8673
_cell_length_b 6.8673
_cell_length_c 4.3745
_cell_angle_alpha 90.00
_cell_angle_beta 90.00
_cell_angle_gamma 90.00
_space_group_name_H-M_alt 'P 4/m b m'
_space_group_IT_number 127
_space_group_name_Hall '-P 4 2ab'
loop_
_atom_site_label
_atom_site_type_symbol
_atom_site_fract_x
_atom_site_fract_y
_atom_site_fract_z
Al1 Al 0.0000 0.0000 0.0000
Cu1 Cu 0.1327 0.3673 0.0000
Pb1 Pb 0.1739 0.6739 0.5000
# Formation energy: 19 kJ per mole of atoms
# Crystal system: tetragonal
# N(E_F): 4.1 states/eV per cell
# Uncorrected energy: -3.669 eV per atom


Record 7
# SrLiPu2Au4 | Alexandria | PBE-GGA | optimized geometry
data_SrLiPu2Au4
_cell_length_a 5.1004
_cell_length_b 5.1004
_cell_length_c 26.1283
_cell_angle_alpha 90.00
_cell_angle_beta 90.00
_cell_angle_gamma 120.00
_space_group_name_H-M_alt 'R -3 m'
_space_group_IT_number 166
_space_group_name_Hall '-R 3 2"'
loop_
_atom_site_label
_atom_site_type_symbol
_atom_site_fract_x
_atom_site_fract_y
_atom_site_fract_z
Sr1 Sr 0.0000 0.0000 0.0000
Li1 Li 0.0000 0.0000 0.5000
Pu1 Pu 0.0000 0.0000 0.2380
Au1 Au 0.0000 0.0000 0.1238
Au2 Au 0.0000 0.0000 0.3920
# Formation energy: -41 kJ per mole of atoms
# Crystal system: trigonal
# N(E_F): 91.8 states/eV per cell
# Uncorrected energy: -6.097 eV per atom


Record 8
# TmThRu2 | Alexandria | PBE-GGA | optimized geometry
data_TmThRu2
_cell_length_a 6.9046
_cell_length_b 9.8106
_cell_length_c 4.8928
_cell_angle_alpha 90.00
_cell_angle_beta 90.00
_cell_angle_gamma 90.00
_space_group_name_H-M_alt 'C m c m'
_space_group_IT_number 63
_space_group_name_Hall '-C 2c 2'
loop_
_atom_site_label
_atom_site_type_symbol
_atom_site_fract_x
_atom_site_fract_y
_atom_site_fract_z
Tm1 Tm 0.0000 0.1167 0.2500
Th1 Th 0.0000 0.3674 0.7500
Ru1 Ru 0.2443 0.3750 0.2500
# Formation energy: -45 kJ per mole of atoms
# Crystal system: orthorhombic
# N(E_F): 10.7 states/eV per cell
# Uncorrected energy: -8.081 eV per atom


Record 9
# SmPuVN3 | Alexandria | PBE-GGA | optimized geometry
data_SmPuVN3
_cell_length_a 7.2463
_cell_length_b 3.4412
_cell_length_c 7.5019
_cell_angle_alpha 90.00
_cell_angle_beta 96.47
_cell_angle_gamma 90.00
_space_group_name_H-M_alt 'P 1 21/m 1'
_space_group_IT_number 11
loop_
_space_group_symop_operation_xyz
'x,y,z'
'-x,-y,-z'
'-x,y+1/2,-z'
'x,-y+1/2,z'
loop_
_atom_site_label
_atom_site_type_symbol
_atom_site_fract_x
_atom_site_fract_y
_atom_site_fract_z
Sm1 Sm 0.1610 0.2500 0.1687
Pu1 Pu 0.3694 0.7500 0.8269
V1 V 0.0963 0.2500 0.5938
N1 N 0.1114 0.2500 0.8452
N2 N 0.1677 0.7500 0.5017
N3 N 0.4067 0.7500 0.1289
# Crystal system: monoclinic
# N(E_F): 16.8 states/eV per cell
# E_form (uncorrected): -1.10 eV/atom
# Uncorrected energy: -9.961 eV per atom


Record 10
# SrBi2H | Alexandria | PBE-GGA | optimized geometry
data_SrBi2H
_cell_length_a 7.5931
_cell_length_b 7.5931
_cell_length_c 7.7583
_cell_angle_alpha 90.00
_cell_angle_beta 90.00
_cell_angle_gamma 90.00
_space_group_name_H-M_alt 'I -4 2 d'
_space_group_IT_number 122
_space_group_name_Hall 'I -4 2bw'
loop_
_atom_site_label
_atom_site_type_symbol
_atom_site_fract_x
_atom_site_fract_y
_atom_site_fract_z
Sr1 Sr 0.0000 0.0000 0.0000
Bi1 Bi 0.1116 0.2500 0.6250
H1 H 0.0000 0.0000 0.5000
# Crystal system: tetragonal
# Energy above the lowest structure with this stoichiometry: 0.000 eV per atom
# N(E_F): 2.6 states/eV per cell
# Uncorrected energy: -3.305 eV per atom


Record 11
# PmPrY2 | Alexandria | PBE-GGA | optimized geometry
data_PmPrY2
_cell_length_a 3.6859
_cell_length_b 11.6337
_cell_length_c 6.3670
_cell_angle_alpha 90.00
_cell_angle_beta 90.00
_cell_angle_gamma 90.00
_space_group_name_H-M_alt 'I m m 2'
_space_group_IT_number 44
loop_
_space_group_symop_operation_xyz
'x,y,z'
'-x,-y,z'
'-x,y,z'
'x,-y,z'
'x+1/2,y+1/2,z+1/2'
'-x+1/2,-y+1/2,z+1/2'
'-x+1/2,y+1/2,z+1/2'
'x+1/2,-y+1/2,z+1/2'
loop_
_atom_site_label
_atom_site_type_symbol
_atom_site_fract_x
_atom_site_fract_y
_atom_site_fract_z
Pm1 Pm 0.0000 0.0000 0.0000
Pr1 Pr 0.0000 0.5000 0.0017
Y1 Y 0.0000 0.2508 0.6677
# Formation energy: 3 kJ per mole of atoms
# Crystal system: orthorhombic
# Energy above the lowest structure with this stoichiometry: 0.019 eV per atom
# N(E_F): 15.3 states/eV per cell
# Uncorrected energy: -5.586 eV per atom


Repeat the fourth record exactly.
# MgS2ClF | Alexandria | PBE-GGA | optimized geometry
data_MgS2ClF
_cell_length_a 5.1143
_cell_length_b 5.1143
_cell_length_c 4.7002
_cell_angle_alpha 90.00
_cell_angle_beta 90.00
_cell_angle_gamma 90.00
_space_group_name_H-M_alt 'P 4/m m m'
_space_group_IT_number 123
_space_group_name_Hall '-P 4 2'
loop_
_atom_site_label
_atom_site_type_symbol
_atom_site_fract_x
_atom_site_fract_y
_atom_site_fract_z
Mg1 Mg 0.0000 0.0000 0.0000
S1 S 0.0000 0.5000 0.0000
Cl1 Cl 0.0000 0.0000 0.5000
F1 F 0.5000 0.5000 0.5000
# Crystal system: tetragonal
# Energy above the lowest structure with this stoichiometry: 0.025 eV per atom
# N(E_F): 3.5 states/eV per cell
# E_form (uncorrected): -0.04 eV/atom
# Uncorrected energy: -2.752 eV per atom


> What is the N(E_F) in the tenth record?

2.6 states/eV per cell


> Which formula does entry 7 have?

SrLiPu2Au4


Please write out number 9 again, unchanged.
# SmPuVN3 | Alexandria | PBE-GGA | optimized geometry
data_SmPuVN3
_cell_length_a 7.2463
_cell_length_b 3.4412
_cell_length_c 7.5019
_cell_angle_alpha 90.00
_cell_angle_beta 96.47
_cell_angle_gamma 90.00
_space_group_name_H-M_alt 'P 1 21/m 1'
_space_group_IT_number 11
loop_
_space_group_symop_operation_xyz
'x,y,z'
'-x,-y,-z'
'-x,y+1/2,-z'
'x,-y+1/2,z'
loop_
_atom_site_label
_atom_site_type_symbol
_atom_site_fract_x
_atom_site_fract_y
_atom_site_fract_z
Sm1 Sm 0.1610 0.2500 0.1687
Pu1 Pu 0.3694 0.7500 0.8269
V1 V 0.0963 0.2500 0.5938
N1 N 0.1114 0.2500 0.8452
N2 N 0.1677 0.7500 0.5017
N3 N 0.4067 0.7500 0.1289
# Crystal system: monoclinic
# N(E_F): 16.8 states/eV per cell
# E_form (uncorrected): -1.10 eV/atom
# Uncorrected energy: -9.961 eV per atom